Here is CaN2F8 after structural relaxation from Alexandria. Energies are from PBE-GGA.

Cell lengths 5.2177, 5.2177, 6.6193 Å; angles 97.12, 97.12, 88.17 degrees
Fractional positions:
Ca  0.0000  0.0000  0.0000
N  0.2102  0.2102  0.5854
N  0.7899  0.7899  0.4146
F  0.0061  0.6997  0.3059
F  0.2673  0.2673  0.1390
F  0.3003  0.9939  0.6941
F  0.3915  0.3915  0.6626
F  0.6085  0.6085  0.3374
F  0.6997  0.0061  0.3059
F  0.7327  0.7327  0.8610
F  0.9939  0.3003  0.6941



Here is TlSbIr2 after structural relaxation from Alexandria. Energies are from PBE-GGA.

Values from the calculation:
Its excess energy over the best structure of this formula in the dataset is 14 meV/atom.

Cell lengths 3.1050, 3.4563, 7.3660 Å; angles 90.00, 93.84, 90.00 degrees
Fractional positions:
Tl  0.0000  0.0000  0.0000
Sb  0.5000  0.0000  0.5000
Ir  0.0300  0.5000  0.6992
Ir  0.9700  0.5000  0.3008



Here is NpTlS4 after structural relaxation from Alexandria. Energies are from PBE-GGA.

Cell lengths 6.9964, 6.9964, 7.9168 Å; angles 90.00, 90.00, 105.51 degrees
Fractional positions:
Np  0.0286  0.9714  0.7500
Np  0.9714  0.0286  0.2500
Tl  0.3590  0.6410  0.7500
Tl  0.6410  0.3590  0.2500
S  0.1401  0.8599  0.0405
S  0.1401  0.8599  0.4595
S  0.2227  0.3365  0.2500
S  0.3365  0.2227  0.7500
S  0.6635  0.7773  0.2500
S  0.7773  0.6635  0.7500
S  0.8599  0.1401  0.5405
S  0.8599  0.1401  0.9595



Here is FeSiPd after structural relaxation from Alexandria. Energies are from PBE-GGA.

Cell lengths 4.4168, 4.4168, 5.4521 Å; angles 99.80, 99.80, 49.88 degrees
Fractional positions:
Fe  0.0000  0.0000  0.0000
Fe  0.6855  0.6855  0.8685
Si  0.0496  0.0496  0.5915
Si  0.3202  0.3202  0.1074
Pd  0.3573  0.3573  0.6095
Pd  0.6240  0.6240  0.3366



Total moment, record by record: 0.13, 0.00, 0.06, 1.98 μB per formula unit
Formation energy without anion corrections, record by record: -1.138, 0.330, -0.468, -0.343 eV/atom